1.
A geometry-optimized CaAlTlTe3 structure. Source: Alexandria via LeMat-Bulk, functional PBE-GGA.

a = 4.395 Å, b = 9.633 Å, c = 10.666 Å
α = 105.89°, β = 90.00°, γ = 90.00°
Atoms (fractional coordinates):
Ca: 0.250 0.671 0.112
Ca: 0.750 0.329 0.888
Al: 0.250 0.080 0.629
Al: 0.750 0.920 0.371
Tl: 0.250 0.250 0.236
Tl: 0.750 0.750 0.764
Te: 0.750 0.919 0.133
Te: 0.250 0.081 0.867
Te: 0.250 0.807 0.466
Te: 0.750 0.193 0.534
Te: 0.750 0.477 0.187
Te: 0.250 0.523 0.813

density of states at the Fermi level = 0.014 states/eV per atom
uncorrected formation energy = -0.750 eV/atom
V = 36.20 Å³/atom
size of the total moment = 0.0 Bohr magnetons per cell

---

2.
A geometry-optimized LiDyZr structure. Source: Alexandria via LeMat-Bulk, functional PBE-GGA.

a = 3.285 Å, b = 3.285 Å, c = 8.120 Å
α = 90.00°, β = 90.00°, γ = 120.00°
Atoms (fractional coordinates):
Li: 0.000 0.000 0.011
Zr: 0.667 0.333 0.334
Dy: 0.333 0.667 0.655

density of states at the Fermi level = 1.021 states/eV per atom
energy relative to the lowest polymorph listed for this composition = 0.098 eV/atom
formation energy = 17.3 kJ/mol of atoms
V = 25.30 Å³/atom
size of the total moment = 0.0 Bohr magnetons per cell

---

3.
A geometry-optimized TcHgOs2Br structure. Source: Alexandria via LeMat-Bulk, functional PBE-GGA.

a = 5.092 Å, b = 5.254 Å, c = 5.092 Å
α = 90.00°, β = 90.00°, γ = 90.00°
Last column: magnetic moment on the atom in μB.
Atoms (fractional coordinates):
Os: 0.000 0.000 0.500  2.25
Os: 0.500 0.000 0.000  1.98
Hg: 0.000 0.000 0.000  0.06
Br: 0.000 0.500 0.000  0.22
Tc: 0.500 0.500 0.500  3.67

density of states at the Fermi level = 1.817 states/eV per atom
uncorrected formation energy = 3.052 eV/atom
V = 27.24 Å³/atom
size of the total moment = 9.1 Bohr magnetons per cell

---

4.
A geometry-optimized KRb3Nb structure. Source: Alexandria via LeMat-Bulk, functional PBE-GGA.

a = 7.241 Å, b = 7.241 Å, c = 7.241 Å
α = 90.00°, β = 90.00°, γ = 90.00°
Last column: magnetic moment on the atom in μB.
Atoms (fractional coordinates):
Nb: 0.000 0.000 0.000  3.23
K: 0.500 0.500 0.500  0.00
Rb: 0.000 0.500 0.000  0.04
Rb: 0.000 0.000 0.500  0.03
Rb: 0.500 0.000 0.000  0.05

density of states at the Fermi level = 0.468 states/eV per atom
energy relative to the lowest polymorph listed for this composition = 0.000 eV/atom
formation energy = 94.7 kJ/mol of atoms
V = 75.93 Å³/atom
size of the total moment = 5.2 Bohr magnetons per cell

---

| no. | calculated total energy (eV per atom) | mass density (g/cm³) |
| --- | --- | --- |
| 1 | -3.6721 | 5.00 |
| 2 | -4.8421 | 5.70 |
| 3 | -3.9080 | 9.25 |
| 4 | -1.8329 | 1.70 |